DFT (PBE) results for a relaxed structure of LaNd12Ni6.

* energy of formation from the pure elements: -172 meV/atom

Cell lengths 8.8234, 8.8234, 8.8234 Å; angles 109.47, 109.47, 109.47 degrees
Positions (direct):
La1 0.0000 0.0000 0.0000
Nd1 0.3129 0.1276 0.8147
Nd2 0.3129 0.4982 0.1853
Nd3 0.6871 0.5018 0.8147
Nd4 0.6871 0.8724 0.1853
Nd5 0.1276 0.8147 0.3129
Nd6 0.4982 0.1853 0.3129
Nd7 0.5018 0.8147 0.6871
Nd8 0.8724 0.1853 0.6871
Nd9 0.8147 0.3129 0.1276
Nd10 0.1853 0.3129 0.4982
Nd11 0.8147 0.6871 0.5018
Nd12 0.1853 0.6871 0.8724
Ni1 0.3789 0.5000 0.8789
Ni2 0.6211 0.5000 0.1211
Ni3 0.5000 0.8789 0.3789
Ni4 0.5000 0.1211 0.6211
Ni5 0.8789 0.3789 0.5000
Ni6 0.1211 0.6211 0.5000

***

DFT (PBE) results for a relaxed structure of LaNdNi.

* excess energy over the best structure of this formula in the dataset: 0.000 eV per atom
* energy of formation from the pure elements: -150 meV/atom

Cell lengths 6.9595, 7.4904, 7.1451 Å; angles 66.78, 90.00, 90.00 degrees
Positions (direct):
La1 0.1878 0.6919 0.9227
La2 0.3122 0.6919 0.4227
La3 0.8122 0.3081 0.0773
La4 0.6878 0.3081 0.5773
Nd1 0.6842 0.8049 0.9857
Nd2 0.3158 0.1951 0.0143
Nd3 0.1842 0.1951 0.5143
Nd4 0.8158 0.8049 0.4857
Ni1 0.5447 0.5488 0.7954
Ni2 0.4553 0.4512 0.2046
Ni3 0.9553 0.5488 0.2954
Ni4 0.0447 0.4512 0.7046

***

DFT (PBE) results for a relaxed structure of La4NdNi2.

* energy of formation from the pure elements: -106 meV/atom

Cell lengths 6.7825, 7.9847, 8.2870 Å; angles 116.62, 90.00, 90.00 degrees
Positions (direct):
La1 0.5161 0.4177 0.7794
La2 0.2500 0.2848 0.3676
La3 0.7500 0.7152 0.6324
La4 0.9839 0.4177 0.7794
La5 0.7500 0.0053 0.3634
La6 0.0161 0.5823 0.2206
La7 0.4839 0.5823 0.2206
La8 0.2500 0.9947 0.6366
Nd1 0.2500 0.8598 0.9779
Nd2 0.7500 0.1402 0.0221
Ni1 0.2500 0.2367 0.9999
Ni2 0.7500 0.7633 0.0001
Ni3 0.7500 0.3558 0.3997
Ni4 0.2500 0.6442 0.6003

***

DFT (PBE) results for a relaxed structure of LaNd2Ni2.

* excess energy over the best structure of this formula in the dataset: 0.087 eV per atom
* energy of formation from the pure elements: -153 meV/atom

Cell lengths 3.9228, 5.9096, 6.1399 Å; angles 106.07, 108.63, 90.00 degrees
Positions (direct):
La1 0.0000 0.0000 0.0000
Nd1 0.3462 0.3965 0.6924
Nd2 0.6538 0.6035 0.3076
Ni1 0.7112 0.1071 0.4224
Ni2 0.2888 0.8929 0.5776

***

Total moment: 0.001; 0.000; 0.000; 0.000 (Bohr magnetons per cell)